No. 1
An optimized crystal structure of RbU2PdS4. Source: Alexandria via LeMat-Bulk, functional GGA-PBE.

Calculated values
The calculation puts the density of states at the Fermi level at 26.0 states/eV per cell. For the formation energy from raw total energies, the calculation gives -1.245 eV/atom. As for the size of the total moment: 10.008 μB/cell.

Geometry as extended XYZ:
```
16
Lattice="2.020 -6.799 0.000 2.020 6.799 0.000 0.000 0.000 13.875" Properties=species:S:1:pos:R:3 pbc="T T T"
Rb 2.020 5.309 10.406
Rb 2.020 -5.309 3.469
U 2.020 1.796 7.831
U 2.020 1.796 12.982
U 2.020 -1.796 0.893
U 2.020 -1.796 6.044
Pd 2.020 4.512 3.469
Pd 2.020 -4.512 10.406
S 0.000 0.000 0.000
S 0.000 0.000 6.937
S 2.020 3.241 1.410
S 2.020 3.241 5.528
S 2.020 0.942 10.406
S 2.020 -0.942 3.469
S 2.020 -3.241 8.347
S 2.020 -3.241 12.465
```

No. 2
An optimized crystal structure of MoAsBr2. Source: Alexandria via LeMat-Bulk, functional GGA-PBE.

Calculated values
The calculation puts the density of states at the Fermi level at 3.1 states/eV per cell. For the formation energy from raw total energies, the calculation gives 0.117 eV/atom. As for the size of the total moment: 0.000 μB/cell.

Geometry as extended XYZ:
```
4
Lattice="3.107 0.000 0.000 0.000 3.107 0.000 0.000 0.000 9.760" Properties=species:S:1:pos:R:3 pbc="T T T"
Mo 0.000 0.000 0.000
As 1.554 1.554 1.511
Br 0.000 0.000 4.624
Br 1.554 1.554 8.064
```

No. 3
An optimized crystal structure of CaTiGa2. Source: Alexandria via LeMat-Bulk, functional GGA-PBE.

Calculated values
The calculation puts the density of states at the Fermi level at 3.0 states/eV per cell. The formation energy comes out at -0.346 eV/atom. As for the size of the total moment: 0.002 μB/cell.

Geometry as extended XYZ:
```
4
Lattice="3.065 0.000 0.000 0.000 3.065 0.000 0.000 0.000 8.156" Properties=species:S:1:pos:R:3 pbc="T T T"
Ca 0.000 0.000 0.000
Ti 0.000 0.000 4.078
Ga 1.532 1.532 2.272
Ga 1.532 1.532 5.884
```